## A
Below is crystalline CoTcC3 at its relaxed geometry, with properties calculated at the GGA-PBE level.

The density of states at the Fermi level comes out at 5.3 states/eV/cell.

The space group is Pm-3m (No. 221) and the conventional cell measures 3.976, 3.976 and 3.976 Å, with angles of 90.00, 90.00 and 90.00 degrees. The asymmetric unit holds Co at (0.000, 0.000, 0.000), Tc at (0.500, 0.500, 0.500) and C at (0.000, 0.500, 0.500).

## B
Below is crystalline CoTcC3 at its relaxed geometry, with properties calculated at the GGA-PBE level.

The density of states at the Fermi level comes out at 6.8 states/eV/cell.

The space group is Pm-3m (No. 221) and the conventional cell measures 3.661, 3.661 and 3.661 Å, with angles of 90.00, 90.00 and 90.00 degrees. The asymmetric unit holds Co at (0.000, 0.000, 0.000), Tc at (0.500, 0.500, 0.500) and C at (0.000, 0.000, 0.500).

Verdict on stability: A comes out on top.

## A
Below is crystalline CoTe3C at its relaxed geometry, with properties calculated at the GGA-PBE level.

The density of states at the Fermi level comes out at 4.5 states/eV/cell.

The space group is Pm-3m (No. 221) and the conventional cell measures 4.718, 4.718 and 4.718 Å, with angles of 90.00, 90.00 and 90.00 degrees. The asymmetric unit holds Co at (0.000, 0.000, 0.000), Te at (0.000, 0.500, 0.500) and C at (0.500, 0.500, 0.500).

## B
Below is crystalline CoTe3C at its relaxed geometry, with properties calculated at the GGA-PBE level.

The density of states at the Fermi level comes out at 6.7 states/eV/cell.

The space group is Pm-3m (No. 221) and the conventional cell measures 4.935, 4.935 and 4.935 Å, with angles of 90.00, 90.00 and 90.00 degrees. The asymmetric unit holds Co at (0.000, 0.000, 0.000), Te at (0.000, 0.000, 0.500) and C at (0.500, 0.500, 0.500).

Verdict on stability: A comes out on top.

## A
Below is crystalline Co3TeC at its relaxed geometry, with properties calculated at the GGA-PBE level.

The density of states at the Fermi level comes out at 7.1 states/eV/cell.

The space group is Pm-3m (No. 221) and the conventional cell measures 3.912, 3.912 and 3.912 Å, with angles of 90.00, 90.00 and 90.00 degrees. The asymmetric unit holds Co at (0.000, 0.000, 0.500), Te at (0.500, 0.500, 0.500) and C at (0.000, 0.000, 0.000).

## B
Below is crystalline Co3TeC at its relaxed geometry, with properties calculated at the GGA-PBE level.

The density of states at the Fermi level comes out at 6.4 states/eV/cell.

The space group is Pm-3m (No. 221) and the conventional cell measures 4.688, 4.688 and 4.688 Å, with angles of 90.00, 90.00 and 90.00 degrees. The asymmetric unit holds Co at (0.000, 0.000, 0.500), Te at (0.000, 0.000, 0.000) and C at (0.500, 0.500, 0.500).

Verdict on stability: A comes out on top.

## A
Below is crystalline ThCoC at its relaxed geometry, with properties calculated at the GGA-PBE level.

The density of states at the Fermi level comes out at 9.3 states/eV/cell.

The space group is R3m (No. 160, hexagonal axes) and the conventional cell measures 4.4103, 4.4103 and 9.0188 Å, with angles of 90.00, 90.00 and 120.00 degrees. The asymmetric unit holds Th at (0.0000, 0.0000, 0.0000), Co at (0.0000, 0.0000, 0.4904) and C at (0.0000, 0.0000, 0.2801).

## B
Below is crystalline ThCoC at its relaxed geometry, with properties calculated at the GGA-PBE level.

The density of states at the Fermi level comes out at 3.5 states/eV/cell.

The space group is P-1 (No. 2) and the conventional cell measures 3.945, 4.194 and 6.376 Å, with angles of 93.10, 101.99 and 101.69 degrees. The asymmetric unit holds Th at (0.071, 0.279, 0.246), Co at (0.461, 0.256, 0.854) and C at (0.478, 0.079, 0.588).

## C
Below is crystalline ThCoC at its relaxed geometry, with properties calculated at the GGA-PBE level.

The density of states at the Fermi level comes out at 3.2 states/eV/cell.

The space group is P-6m2 (No. 187) and the conventional cell measures 3.6284, 3.6284 and 3.8876 Å, with angles of 90.00, 90.00 and 120.00 degrees. The asymmetric unit holds Th at (0.0000, 0.0000, 0.0000), Co at (0.6667, 0.3333, 0.5000) and C at (0.3333, 0.6667, 0.5000).

Verdict on stability: B comes out on top.

## A
Below is crystalline Th2Co4C at its relaxed geometry, with properties calculated at the GGA-PBE level.

The density of states at the Fermi level comes out at 12.8 states/eV/cell.

The space group is I4/mmm (No. 139) and the conventional cell measures 3.860, 3.860 and 14.652 Å, with angles of 90.00, 90.00 and 90.00 degrees. The asymmetric unit holds Th at (0.000, 0.000, 0.158), Co at (0.000, 0.000, 0.371), Co at (0.000, 0.500, 0.000) and C at (0.000, 0.000, 0.500).

## B
Below is crystalline Th2Co4C at its relaxed geometry, with properties calculated at the GGA-PBE level.

The density of states at the Fermi level comes out at 8.1 states/eV/cell.

The space group is I4/mmm (No. 139) and the conventional cell measures 5.236, 5.236 and 8.355 Å, with angles of 90.00, 90.00 and 90.00 degrees. The asymmetric unit holds Th at (0.000, 0.500, 0.250), Co at (0.246, 0.246, 0.000) and C at (0.000, 0.000, 0.500).

Verdict on stability: A comes out on top.

## A
Below is crystalline Ti3CoC at its relaxed geometry, with properties calculated at the GGA-PBE level.

The density of states at the Fermi level comes out at 6.2 states/eV/cell.

The space group is Pm-3m (No. 221) and the conventional cell measures 4.376, 4.376 and 4.376 Å, with angles of 90.00, 90.00 and 90.00 degrees. The asymmetric unit holds Ti at (0.000, 0.000, 0.500), Co at (0.000, 0.000, 0.000) and C at (0.500, 0.500, 0.500).

## B
Below is crystalline Ti3CoC at its relaxed geometry, with properties calculated at the GGA-PBE level.

The density of states at the Fermi level comes out at 4.8 states/eV/cell.

The space group is Pm-3m (No. 221) and the conventional cell measures 4.117, 4.117 and 4.117 Å, with angles of 90.00, 90.00 and 90.00 degrees. The asymmetric unit holds Ti at (0.000, 0.000, 0.500), Co at (0.500, 0.500, 0.500) and C at (0.000, 0.000, 0.000).

Verdict on stability: B comes out on top.

## A
Below is crystalline TlCo3C at its relaxed geometry, with properties calculated at the GGA-PBE level.

The density of states at the Fermi level comes out at 1.1 states/eV/cell.

The space group is Pm-3m (No. 221) and the conventional cell measures 3.870, 3.870 and 3.870 Å, with angles of 90.00, 90.00 and 90.00 degrees. The asymmetric unit holds Tl at (0.000, 0.000, 0.000), Co at (0.000, 0.500, 0.500) and C at (0.500, 0.500, 0.500).

## B
Below is crystalline TlCo3C at its relaxed geometry, with properties calculated at the GGA-PBE level.

The density of states at the Fermi level comes out at 11.7 states/eV/cell.

The space group is Pm-3m (No. 221) and the conventional cell measures 4.800, 4.800 and 4.800 Å, with angles of 90.00, 90.00 and 90.00 degrees. The asymmetric unit holds Tl at (0.000, 0.000, 0.000), Co at (0.000, 0.000, 0.500) and C at (0.500, 0.500, 0.500).

Verdict on stability: A comes out on top.

## A
Below is crystalline UCoC at its relaxed geometry, with properties calculated at the GGA-PBE level.

The density of states at the Fermi level comes out at 16.3 states/eV/cell.

The space group is P4_2/mmc (No. 131) and the conventional cell measures 5.847, 5.847 and 4.859 Å, with angles of 90.00, 90.00 and 90.00 degrees. The asymmetric unit holds U at (0.000, 0.287, 0.000), Co at (0.265, 0.500, 0.500) and C at (0.000, 0.276, 0.500).

## B
Below is crystalline UCoC at its relaxed geometry, with properties calculated at the GGA-PBE level.

The density of states at the Fermi level comes out at 7.6 states/eV/cell.

The space group is I4mm (No. 107) and the conventional cell measures 3.755, 3.755 and 6.182 Å, with angles of 90.00, 90.00 and 90.00 degrees. The asymmetric unit holds U at (0.000, 0.000, 0.000), Co at (0.000, 0.000, 0.352) and C at (0.000, 0.000, 0.649).

Verdict on stability: A comes out on top.

## A
Below is crystalline VZnCo2C at its relaxed geometry, with properties calculated at the GGA-PBE level.

The density of states at the Fermi level comes out at 5.6 states/eV/cell.

The space group is P4/mmm (No. 123) and the conventional cell measures 3.774, 3.774 and 3.977 Å, with angles of 90.00, 90.00 and 90.00 degrees. The asymmetric unit holds V at (0.000, 0.000, 0.000), Zn at (0.500, 0.500, 0.000), Co at (0.000, 0.500, 0.500) and C at (0.000, 0.000, 0.500).

## B
Below is crystalline VZnCo2C at its relaxed geometry, with properties calculated at the GGA-PBE level.

The density of states at the Fermi level comes out at 7.5 states/eV/cell.

The space group is P4/mmm (No. 123) and the conventional cell measures 3.742, 3.742 and 4.089 Å, with angles of 90.00, 90.00 and 90.00 degrees. The asymmetric unit holds V at (0.000, 0.000, 0.000), Zn at (0.500, 0.500, 0.000), Co at (0.000, 0.500, 0.500) and C at (0.500, 0.500, 0.500).

## C
Below is crystalline VZnCo2C at its relaxed geometry, with properties calculated at the GGA-PBE level.

The density of states at the Fermi level comes out at 7.3 states/eV/cell.

The space group is P4/mmm (No. 123) and the conventional cell measures 4.109, 4.109 and 4.776 Å, with angles of 90.00, 90.00 and 90.00 degrees. The asymmetric unit holds V at (0.000, 0.000, 0.000), Zn at (0.000, 0.000, 0.500), Co at (0.000, 0.500, 0.000) and C at (0.500, 0.500, 0.500).

Verdict on stability: A comes out on top.

## A
Below is crystalline Co3WC at its relaxed geometry, with properties calculated at the GGA-PBE level.

The density of states at the Fermi level comes out at 7.4 states/eV/cell.

The space group is Pm-3m (No. 221) and the conventional cell measures 4.427, 4.427 and 4.427 Å, with angles of 90.00, 90.00 and 90.00 degrees. The asymmetric unit holds Co at (0.000, 0.000, 0.500), W at (0.000, 0.000, 0.000) and C at (0.500, 0.500, 0.500).

## B
Below is crystalline Co3WC at its relaxed geometry, with properties calculated at the GGA-PBE level.

The density of states at the Fermi level comes out at 5.5 states/eV/cell.

The space group is Pm-3m (No. 221) and the conventional cell measures 3.796, 3.796 and 3.796 Å, with angles of 90.00, 90.00 and 90.00 degrees. The asymmetric unit holds Co at (0.000, 0.000, 0.500), W at (0.500, 0.500, 0.500) and C at (0.000, 0.000, 0.000).

Verdict on stability: B comes out on top.

## A
Below is crystalline Y2CoC2 at its relaxed geometry, with properties calculated at the GGA-PBE level.

The density of states at the Fermi level comes out at 3.9 states/eV/cell.

The space group is P4/mbm (No. 127) and the conventional cell measures 6.486, 6.486 and 3.425 Å, with angles of 90.00, 90.00 and 90.00 degrees. The asymmetric unit holds Y at (0.196, 0.304, 0.000), Co at (0.000, 0.000, 0.500) and C at (0.078, 0.578, 0.500).

## B
Below is crystalline Y2CoC2 at its relaxed geometry, with properties calculated at the GGA-PBE level.

The density of states at the Fermi level comes out at 6.4 states/eV/cell.

The space group is I4/mmm (No. 139) and the conventional cell measures 3.315, 3.315 and 14.486 Å, with angles of 90.00, 90.00 and 90.00 degrees. The asymmetric unit holds Y at (0.000, 0.000, 0.126), Co at (0.000, 0.000, 0.500) and C at (0.000, 0.500, 0.250).

## C
Below is crystalline Y2CoC2 at its relaxed geometry, with properties calculated at the GGA-PBE level.

The density of states at the Fermi level comes out at 9.6 states/eV/cell.

The space group is P4/mbm (No. 127) and the conventional cell measures 7.187, 7.187 and 3.037 Å, with angles of 90.00, 90.00 and 90.00 degrees. The asymmetric unit holds Y at (0.148, 0.352, 0.000), Co at (0.000, 0.000, 0.000) and C at (0.166, 0.666, 0.500).

## D
Below is crystalline Y2CoC2 at its relaxed geometry, with properties calculated at the GGA-PBE level.

The density of states at the Fermi level comes out at 18.8 states/eV/cell.

The space group is Pnma (No. 62) and the conventional cell measures 6.243, 5.038 and 9.716 Å, with angles of 90.00, 90.00 and 90.00 degrees. The asymmetric unit holds Y at (0.017, 0.250, 0.220), Y at (0.184, 0.250, 0.554), Co at (0.232, 0.250, 0.855), C at (0.032, 0.750, 0.239) and C at (0.190, 0.750, 0.544).

Verdict on stability: D comes out on top.